No. 1
The following is a PBE-GGA calculation of a relaxed structure of PrNd2Sm, from the Alexandria database.

Computed properties:
total DFT energy (no corrections): -19.0 eV/cell
space group: P4/mmm
size of the total moment: 0.00 μB/cell

Geometry as CIF:
```
data_PrNd2Sm
_space_group_name_H-M_alt 'P 1'
_space_group_IT_number 1
_cell_length_a 5.196
_cell_length_b 5.196
_cell_length_c 5.196
_cell_angle_alpha 90.00
_cell_angle_beta 90.00
_cell_angle_gamma 90.00
loop_
_space_group_symop_operation_xyz
'x,y,z'
loop_
_atom_site_label
_atom_site_type_symbol
_atom_site_fract_x
_atom_site_fract_y
_atom_site_fract_z
Pr1 Pr 0.000 0.000 0.000
Nd1 Nd 0.000 0.500 0.500
Nd2 Nd 0.500 0.000 0.500
Sm1 Sm 0.500 0.500 0.000
```

=====

No. 2
The following is a PBE-GGA calculation of a relaxed structure of NaGa2Co, from the Alexandria database.

Computed properties:
total DFT energy (no corrections): -27.3 eV/cell
space group: I4_1/amd
size of the total moment: 0.00 μB/cell

Geometry as CIF:
```
data_NaGa2Co
_space_group_name_H-M_alt 'P 1'
_space_group_IT_number 1
_cell_length_a 8.145
_cell_length_b 8.145
_cell_length_c 8.145
_cell_angle_alpha 141.22
_cell_angle_beta 141.22
_cell_angle_gamma 56.00
loop_
_space_group_symop_operation_xyz
'x,y,z'
loop_
_atom_site_label
_atom_site_type_symbol
_atom_site_fract_x
_atom_site_fract_y
_atom_site_fract_z
Na1 Na 0.375 0.625 0.750
Na2 Na 0.625 0.375 0.250
Ga1 Ga 0.000 0.000 0.000
Ga2 Ga 0.000 0.000 0.500
Ga3 Ga 0.000 0.500 0.000
Ga4 Ga 0.500 0.000 0.500
Co1 Co 0.125 0.875 0.250
Co2 Co 0.875 0.125 0.750
```

=====

No. 3
The following is a PBE-GGA calculation of a relaxed structure of Ac2PaIr2, from the Alexandria database.

Computed properties:
total DFT energy (no corrections): -76.7 eV/cell
space group: C2/c
size of the total moment: 0.00 μB/cell

Geometry as CIF:
```
data_Ac2PaIr2
_space_group_name_H-M_alt 'P 1'
_space_group_IT_number 1
_cell_length_a 7.396
_cell_length_b 7.396
_cell_length_c 7.459
_cell_angle_alpha 113.21
_cell_angle_beta 113.21
_cell_angle_gamma 60.66
loop_
_space_group_symop_operation_xyz
'x,y,z'
loop_
_atom_site_label
_atom_site_type_symbol
_atom_site_fract_x
_atom_site_fract_y
_atom_site_fract_z
Ac1 Ac 0.057 0.264 0.228
Ac2 Ac 0.264 0.057 0.728
Ac3 Ac 0.736 0.943 0.272
Ac4 Ac 0.943 0.736 0.772
Pa1 Pa 0.450 0.550 0.250
Pa2 Pa 0.550 0.450 0.750
Ir1 Ir 0.196 0.640 0.472
Ir2 Ir 0.360 0.804 0.028
Ir3 Ir 0.640 0.196 0.972
Ir4 Ir 0.804 0.360 0.528
```

=====

No. 4
The following is a PBE-GGA calculation of a relaxed structure of Sc2GaOs, from the Alexandria database.

Computed properties:
total DFT energy (no corrections): -29.3 eV/cell
space group: P4/mmm
size of the total moment: 0.00 μB/cell

Geometry as CIF:
```
data_Sc2GaOs
_space_group_name_H-M_alt 'P 1'
_space_group_IT_number 1
_cell_length_a 3.306
_cell_length_b 3.306
_cell_length_c 6.496
_cell_angle_alpha 90.00
_cell_angle_beta 90.00
_cell_angle_gamma 90.00
loop_
_space_group_symop_operation_xyz
'x,y,z'
loop_
_atom_site_label
_atom_site_type_symbol
_atom_site_fract_x
_atom_site_fract_y
_atom_site_fract_z
Sc1 Sc 0.000 0.000 0.235
Sc2 Sc 0.000 0.000 0.765
Ga1 Ga 0.500 0.500 0.500
Os1 Os 0.500 0.500 0.000
```

=====

No. 5
The following is a PBE-GGA calculation of a relaxed structure of LiCd2In, from the Alexandria database.

Computed properties:
total DFT energy (no corrections): -7.0 eV/cell
space group: P4/mmm
size of the total moment: 0.00 μB/cell

Geometry as CIF:
```
data_LiCd2In
_space_group_name_H-M_alt 'P 1'
_space_group_IT_number 1
_cell_length_a 3.718
_cell_length_b 3.718
_cell_length_c 6.297
_cell_angle_alpha 90.00
_cell_angle_beta 90.00
_cell_angle_gamma 90.00
loop_
_space_group_symop_operation_xyz
'x,y,z'
loop_
_atom_site_label
_atom_site_type_symbol
_atom_site_fract_x
_atom_site_fract_y
_atom_site_fract_z
Li1 Li 0.000 0.000 0.000
Cd1 Cd 0.500 0.500 0.232
Cd2 Cd 0.500 0.500 0.768
In1 In 0.000 0.000 0.500
```

=====

No. 6
The following is a PBE-GGA calculation of a relaxed structure of CuTeBr5, from the Alexandria database.

Computed properties:
total DFT energy (no corrections): -35.0 eV/cell
space group: C2/c
size of the total moment: 0.00 μB/cell
energy relative to the elements, uncorrected: -268 meV per atom

Geometry as CIF:
```
data_CuTeBr5
_space_group_name_H-M_alt 'P 1'
_space_group_IT_number 1
_cell_length_a 8.047
_cell_length_b 8.047
_cell_length_c 10.545
_cell_angle_alpha 107.35
_cell_angle_beta 107.35
_cell_angle_gamma 50.66
loop_
_space_group_symop_operation_xyz
'x,y,z'
loop_
_atom_site_label
_atom_site_type_symbol
_atom_site_fract_x
_atom_site_fract_y
_atom_site_fract_z
Cu1 Cu 0.057 0.943 0.750
Cu2 Cu 0.943 0.057 0.250
Te1 Te 0.500 0.500 0.000
Te2 Te 0.500 0.500 0.500
Br1 Br 0.079 0.720 0.545
Br2 Br 0.168 0.493 0.866
Br3 Br 0.280 0.921 0.955
Br4 Br 0.295 0.705 0.250
Br5 Br 0.493 0.168 0.366
Br6 Br 0.507 0.832 0.634
Br7 Br 0.705 0.295 0.750
Br8 Br 0.720 0.079 0.045
Br9 Br 0.832 0.507 0.134
Br10 Br 0.921 0.280 0.455
```

=====

No. 7
The following is a PBE-GGA calculation of a relaxed structure of ScCdP2, from the Alexandria database.

Computed properties:
total DFT energy (no corrections): -20.0 eV/cell
space group: C2/m
size of the total moment: 0.00 μB/cell

Geometry as CIF:
```
data_ScCdP2
_space_group_name_H-M_alt 'P 1'
_space_group_IT_number 1
_cell_length_a 3.941
_cell_length_b 3.941
_cell_length_c 6.360
_cell_angle_alpha 107.52
_cell_angle_beta 107.52
_cell_angle_gamma 59.81
loop_
_space_group_symop_operation_xyz
'x,y,z'
loop_
_atom_site_label
_atom_site_type_symbol
_atom_site_fract_x
_atom_site_fract_y
_atom_site_fract_z
Sc1 Sc 0.000 0.000 0.000
Cd1 Cd 0.500 0.500 0.500
P1 P 0.258 0.258 0.769
P2 P 0.742 0.742 0.231
```